Entry 1:
# ErGaIr

ErGaIr at its PBEsol-relaxed geometry (meta-GGA SCAN, Alexandria via LeMat-Bulk).

Properties
- DFT formation energy (eV/atom) = -1.07
- N(E_F) (states/eV/f.u.) = 1.55

Cell: 4.2097 6.6913 7.7175 Å, 90.00 90.00 90.00°
Closest atoms and distances in Å follow each position.
Fractional positions:
Ir1 0.2500 0.2667 0.6158  4 Ga 2.57-2.61, 1 Er 2.83
Ga1 0.7500 0.3477 0.4335  4 Ir 2.57-2.61
Ga2 0.7500 0.8477 0.0665  4 Ir 2.57-2.61
Er1 0.2500 0.0265 0.3145  5 Ir 2.83-2.95, 5 Ga 3.06-3.15
Ga3 0.2500 0.6523 0.5665  4 Ir 2.57-2.61
Ga4 0.2500 0.1523 0.9335  4 Ir 2.57-2.61
Er2 0.2500 0.5265 0.1855  5 Ir 2.83-2.95, 5 Ga 3.06-3.15
Ir2 0.7500 0.2333 0.1158  4 Ga 2.57-2.61, 1 Er 2.83
Er3 0.7500 0.9735 0.6855  5 Ir 2.83-2.95, 5 Ga 3.06-3.15
Ir3 0.7500 0.7333 0.3842  4 Ga 2.57-2.61, 1 Er 2.83
Ir4 0.2500 0.7667 0.8842  4 Ga 2.57-2.61, 1 Er 2.83
Er4 0.7500 0.4735 0.8145  5 Ir 2.83-2.95, 5 Ga 3.06-3.15


Entry 2:
# Er3Ga8Ir3

Er3Ga8Ir3 at its PBEsol-relaxed geometry (meta-GGA SCAN, Alexandria via LeMat-Bulk).

Properties
- DFT formation energy (eV/atom) = -0.79
- N(E_F) (states/eV/f.u.) = 6.31

Cell: 4.1236 8.0353 8.0353 Å, 73.79 75.13 75.13°
Closest atoms and distances in Å follow each position.
Fractional positions:
Ir1 0.0000 0.2207 0.7793  6 Ga 2.53-2.56
Ga1 0.3755 0.3406 0.9084  3 Ir 2.56-2.58, 3 Ga 2.61-2.63
Ga2 0.1706 0.2007 0.4582  4 Ga 2.48-2.63, 1 Ir 2.53
Er1 0.8309 0.1691 0.1691  4 Ir 2.91-2.96, 8 Ga 2.98-3.10
Ga3 0.8294 0.5418 0.7993  4 Ga 2.48-2.63, 1 Ir 2.53
Ga4 0.8294 0.7993 0.5418  4 Ga 2.48-2.63, 1 Ir 2.53
Ga5 0.1706 0.4582 0.2007  4 Ga 2.48-2.63, 1 Ir 2.53
Ga6 0.3755 0.9084 0.3406  3 Ir 2.56-2.58, 3 Ga 2.61-2.63
Ir2 0.5000 0.0000 0.0000  4 Ga 2.58
Ga7 0.6245 0.6594 0.0916  3 Ir 2.56-2.58, 3 Ga 2.61-2.63
Er2 0.5000 0.5000 0.5000  12 Ga 3.13-3.18, 4 Ir 3.39
Er3 0.1691 0.8309 0.8309  4 Ir 2.91-2.96, 8 Ga 2.98-3.10
Ga8 0.6245 0.0916 0.6594  3 Ir 2.56-2.58, 3 Ga 2.61-2.63
Ir3 0.0000 0.7793 0.2207  6 Ga 2.53-2.56


Entry 3:
# Er2MgGa

Er2MgGa at its PBEsol-relaxed geometry (meta-GGA SCAN, Alexandria via LeMat-Bulk).

Properties
- DFT formation energy (eV/atom) = -0.37
- N(E_F) (states/eV/f.u.) = 2.48

Cell: 5.0405 5.0405 5.0405 Å, 60.00 60.00 60.00°
Closest atoms and distances in Å follow each position.
Fractional positions:
Er1 0.7500 0.7500 0.7500  4 Mg 3.09, 4 Ga 3.09
Ga1 0.5000 0.5000 0.5000  8 Er 3.09
Mg1 0.0000 0.0000 0.0000  8 Er 3.09
Er2 0.2500 0.2500 0.2500  4 Mg 3.09, 4 Ga 3.09


Entry 4:
# ErGa2Ni3

ErGa2Ni3 at its PBEsol-relaxed geometry (meta-GGA SCAN, Alexandria via LeMat-Bulk).

Properties
- DFT formation energy (eV/atom) = -0.61
- N(E_F) (states/eV/f.u.) = 3.47

Cell: 4.0107 8.6052 8.6052 Å, 120.00 90.00 90.00°
Closest atoms and distances in Å follow each position.
Fractional positions:
Ga1 0.0000 0.4823 0.4823  6 Ni 2.33-2.58
Ga2 0.5000 0.0000 0.2711  6 Ni 2.39-2.44
Er1 0.0000 0.0000 0.0000  6 Ni 2.78, 6 Ga 3.08
Ni1 0.5000 0.2945 0.2945  4 Ga 2.44-2.58, 4 Ni 2.50
Ni2 0.0000 0.3723 0.1745  4 Ga 2.33-2.39, 3 Ni 2.50-2.60
Ni3 0.0000 0.1978 0.8255  4 Ga 2.33-2.39, 3 Ni 2.50-2.60
Ga3 0.5000 0.2711 0.0000  6 Ni 2.39-2.44
Ni4 0.0000 0.1745 0.3723  4 Ga 2.33-2.39, 3 Ni 2.50-2.60
Ni5 0.5000 0.7055 0.0000  4 Ga 2.44-2.58, 4 Ni 2.50
Ni6 0.0000 0.8255 0.1978  4 Ga 2.33-2.39, 3 Ni 2.50-2.60
Ni7 0.0000 0.6277 0.8022  4 Ga 2.33-2.39, 3 Ni 2.50-2.60
Ga4 0.0000 0.5177 0.0000  6 Ni 2.33-2.58
Ga5 0.0000 0.0000 0.5177  6 Ni 2.33-2.58
Ga6 0.5000 0.7289 0.7289  6 Ni 2.39-2.44
Ni8 0.5000 0.0000 0.7055  4 Ga 2.44-2.58, 4 Ni 2.50
Er2 0.5000 0.6667 0.3333  9 Ni 2.97-3.05, 9 Ga 3.17-3.20
Ni9 0.0000 0.8022 0.6277  4 Ga 2.33-2.39, 3 Ni 2.50-2.60
Er3 0.5000 0.3333 0.6667  9 Ni 2.97-3.05, 9 Ga 3.17-3.20


Entry 5:
# Er4Ga12Ni

Er4Ga12Ni at its PBEsol-relaxed geometry (meta-GGA SCAN, Alexandria via LeMat-Bulk).

Properties
- DFT formation energy (eV/atom) = -0.64
- N(E_F) (states/eV/f.u.) = 3.48

Cell: 7.2706 7.2706 7.2706 Å, 109.47 109.47 109.47°
Closest atoms and distances in Å follow each position.
Fractional positions:
Ga1 0.0000 0.7128 0.7128  1 Ni 2.41
Er1 0.0000 0.5000 0.0000  12 Ga 2.97-2.98
Er2 0.5000 0.5000 0.5000  12 Ga 2.97-2.98
Er3 0.5000 0.0000 0.0000  12 Ga 2.97-2.98
Ga2 0.7128 0.7128 0.0000  1 Ni 2.41
Ga3 0.7500 0.2500 0.5000  8 Ga 2.76-2.97, 4 Er 2.97
Er4 0.0000 0.0000 0.5000  12 Ga 2.97-2.98
Ga4 0.5000 0.2500 0.7500  8 Ga 2.76-2.97, 4 Er 2.97
Ga5 0.2872 0.0000 0.2872  1 Ni 2.41
Ga6 0.2872 0.2872 0.0000  1 Ni 2.41
Ga7 0.2500 0.5000 0.7500  8 Ga 2.76-2.97, 4 Er 2.97
Ga8 0.7500 0.5000 0.2500  8 Ga 2.76-2.97, 4 Er 2.97
Ga9 0.2500 0.7500 0.5000  8 Ga 2.76-2.97, 4 Er 2.97
Ga10 0.7128 0.0000 0.7128  1 Ni 2.41
Ni1 0.0000 0.0000 0.0000  6 Ga 2.41
Ga11 0.0000 0.2872 0.2872  1 Ni 2.41
Ga12 0.5000 0.7500 0.2500  8 Ga 2.76-2.97, 4 Er 2.97


Entry 6:
# Er3GaNiS7

Er3GaNiS7 at its PBEsol-relaxed geometry (meta-GGA SCAN, Alexandria via LeMat-Bulk).

Properties
- E_tot (eV per atom) = -22.62

Cell: 6.0772 9.3113 9.3113 Å, 120.00 90.00 90.00°
Closest atoms and distances in Å follow each position.
Fractional positions:
S1 0.5532 0.5213 0.4401  1 Ga 2.26
Ni1 0.9913 0.0000 0.0000  6 S 2.38-2.46
S2 0.7306 0.1034 0.8700  2 Ni 2.38-2.46
Ga1 0.3949 0.6667 0.3333  4 S 2.23-2.26
Er1 0.8226 0.7857 0.6248  7 S 2.67-2.96
S3 0.2306 0.8700 0.7666  2 Ni 2.38-2.46
S4 0.7306 0.7666 0.8966  2 Ni 2.38-2.46
S5 0.2306 0.2334 0.1034  2 Ni 2.38-2.46
S6 0.5274 0.3333 0.6667  1 Ga 2.23
S7 0.2306 0.8966 0.1300  2 Ni 2.38-2.46
S8 0.5532 0.5599 0.0813  1 Ga 2.26
S9 0.0532 0.0813 0.5213  1 Ga 2.26
S10 0.5532 0.9187 0.4787  1 Ga 2.26
S11 0.0274 0.6667 0.3333  1 Ga 2.23
Er2 0.8226 0.3752 0.1609  7 S 2.67-2.96
Er3 0.8226 0.8391 0.2143  7 S 2.67-2.96
S12 0.7306 0.1300 0.2334  2 Ni 2.38-2.46
Ga2 0.8949 0.3333 0.6667  4 S 2.23-2.26
Er4 0.3226 0.1609 0.7857  7 S 2.67-2.96
Ni2 0.4913 0.0000 0.0000  6 S 2.38-2.46
S13 0.0532 0.4787 0.5599  1 Ga 2.26
Er5 0.3226 0.2143 0.3752  7 S 2.67-2.96
S14 0.0532 0.4401 0.9187  1 Ga 2.26
Er6 0.3226 0.6248 0.8391  7 S 2.67-2.96


Entry 7:
# Er2Ga10Os3

Er2Ga10Os3 at its PBEsol-relaxed geometry (meta-GGA SCAN, Alexandria via LeMat-Bulk).

Properties
- DFT formation energy (eV/atom) = -0.54
- N(E_F) (states/eV/f.u.) = 3.40

Cell: 6.2964 8.7809 8.7809 Å, 90.00 90.00 90.00°
Closest atoms and distances in Å follow each position.
Fractional positions:
Os1 0.0000 0.5000 0.5000  8 Ga 2.64
Ga1 0.2923 0.7929 0.9389  5 Ga 2.62-2.88, 3 Os 2.64-2.67, 1 Er 2.91
Ga2 0.7077 0.4389 0.2929  5 Ga 2.62-2.88, 3 Os 2.64-2.67, 1 Er 2.91
Ga3 0.7077 0.9389 0.2071  5 Ga 2.62-2.88, 3 Os 2.64-2.67, 1 Er 2.91
Os2 0.5000 0.6786 0.1786  10 Ga 2.61-2.67
Ga4 0.2923 0.0611 0.7929  5 Ga 2.62-2.88, 3 Os 2.64-2.67, 1 Er 2.91
Ga5 0.7077 0.2929 0.5611  5 Ga 2.62-2.88, 3 Os 2.64-2.67, 1 Er 2.91
Er1 0.0000 0.8171 0.6829  10 Ga 2.89-2.99, 4 Os 3.15-3.21
Ga6 0.2826 0.5000 0.0000  2 Os 2.61, 5 Ga 2.63-2.74, 2 Er 2.89
Ga7 0.2923 0.4389 0.2929  5 Ga 2.62-2.88, 3 Os 2.64-2.67, 1 Er 2.91
Os3 0.5000 0.1786 0.3214  10 Ga 2.61-2.67
Ga8 0.2923 0.7071 0.4389  5 Ga 2.62-2.88, 3 Os 2.64-2.67, 1 Er 2.91
Ga9 0.2923 0.5611 0.7071  5 Ga 2.62-2.88, 3 Os 2.64-2.67, 1 Er 2.91
Er2 0.0000 0.1829 0.3171  10 Ga 2.89-2.99, 4 Os 3.15-3.21
Ga10 0.7077 0.5611 0.7071  5 Ga 2.62-2.88, 3 Os 2.64-2.67, 1 Er 2.91
Ga11 0.2923 0.9389 0.2071  5 Ga 2.62-2.88, 3 Os 2.64-2.67, 1 Er 2.91
Er3 0.0000 0.3171 0.8171  10 Ga 2.89-2.99, 4 Os 3.15-3.21
Ga12 0.7077 0.7929 0.9389  5 Ga 2.62-2.88, 3 Os 2.64-2.67, 1 Er 2.91
Ga13 0.7174 0.0000 0.5000  2 Os 2.61, 5 Ga 2.63-2.74, 2 Er 2.89
Os4 0.5000 0.8214 0.6786  10 Ga 2.61-2.67
Ga14 0.7077 0.7071 0.4389  5 Ga 2.62-2.88, 3 Os 2.64-2.67, 1 Er 2.91
Ga15 0.2826 0.0000 0.5000  2 Os 2.61, 5 Ga 2.63-2.74, 2 Er 2.89
Ga16 0.7077 0.0611 0.7929  5 Ga 2.62-2.88, 3 Os 2.64-2.67, 1 Er 2.91
Ga17 0.7077 0.2071 0.0611  5 Ga 2.62-2.88, 3 Os 2.64-2.67, 1 Er 2.91
Er4 0.0000 0.6829 0.1829  10 Ga 2.89-2.99, 4 Os 3.15-3.21
Os5 0.5000 0.3214 0.8214  10 Ga 2.61-2.67
Os6 0.0000 0.0000 0.0000  8 Ga 2.64
Ga18 0.7174 0.5000 0.0000  2 Os 2.61, 5 Ga 2.63-2.74, 2 Er 2.89
Ga19 0.2923 0.2929 0.5611  5 Ga 2.62-2.88, 3 Os 2.64-2.67, 1 Er 2.91
Ga20 0.2923 0.2071 0.0611  5 Ga 2.62-2.88, 3 Os 2.64-2.67, 1 Er 2.91


Entry 8:
# ErGaPd

ErGaPd at its PBEsol-relaxed geometry (meta-GGA SCAN, Alexandria via LeMat-Bulk).

Properties
- DFT formation energy (eV/atom) = -1.02
- N(E_F) (states/eV/f.u.) = 1.41

Cell: 4.3856 6.7622 7.4984 Å, 90.00 90.00 90.00°
Closest atoms and distances in Å follow each position.
Fractional positions:
Pd1 0.2500 0.2200 0.0961  4 Ga 2.56-2.68, 1 Er 2.84
Er1 0.2500 0.9836 0.6982  5 Pd 2.84-3.07, 6 Ga 3.03-3.16
Ga1 0.2500 0.8241 0.0763  4 Pd 2.56-2.68
Er2 0.7500 0.5164 0.1982  5 Pd 2.84-3.07, 6 Ga 3.03-3.16
Er3 0.7500 0.0164 0.3018  5 Pd 2.84-3.07, 6 Ga 3.03-3.16
Pd2 0.7500 0.2800 0.5961  4 Ga 2.56-2.68, 1 Er 2.84
Pd3 0.2500 0.7200 0.4039  4 Ga 2.56-2.68, 1 Er 2.84
Ga2 0.2500 0.3241 0.4237  4 Pd 2.56-2.68
Ga3 0.7500 0.1759 0.9237  4 Pd 2.56-2.68
Er4 0.2500 0.4836 0.8018  5 Pd 2.84-3.07, 6 Ga 3.03-3.16
Ga4 0.7500 0.6759 0.5763  4 Pd 2.56-2.68
Pd4 0.7500 0.7800 0.9039  4 Ga 2.56-2.68, 1 Er 2.84


Entry 9:
# Er4Ga12Pd

Er4Ga12Pd at its PBEsol-relaxed geometry (meta-GGA SCAN, Alexandria via LeMat-Bulk).

Properties
- DFT formation energy (eV/atom) = -0.68
- N(E_F) (states/eV/f.u.) = 3.38

Cell: 7.3153 7.3153 7.3153 Å, 109.47 109.47 109.47°
Closest atoms and distances in Å follow each position.
Fractional positions:
Ga1 0.5000 0.7500 0.2500  8 Ga 2.72-2.99, 4 Er 2.99
Ga2 0.2969 0.2969 0.0000  1 Pd 2.51, 4 Ga 2.72
Ga3 0.0000 0.7031 0.7031  1 Pd 2.51, 4 Ga 2.72
Ga4 0.7500 0.5000 0.2500  8 Ga 2.72-2.99, 4 Er 2.99
Ga5 0.2500 0.5000 0.7500  8 Ga 2.72-2.99, 4 Er 2.99
Ga6 0.2500 0.7500 0.5000  8 Ga 2.72-2.99, 4 Er 2.99
Er1 0.0000 0.0000 0.5000  12 Ga 2.99-3.01
Er2 0.5000 0.5000 0.5000  12 Ga 2.99-3.01
Ga7 0.2969 0.0000 0.2969  1 Pd 2.51, 4 Ga 2.72
Pd1 0.0000 0.0000 0.0000  6 Ga 2.51
Er3 0.5000 0.0000 0.0000  12 Ga 2.99-3.01
Er4 0.0000 0.5000 0.0000  12 Ga 2.99-3.01
Ga8 0.5000 0.2500 0.7500  8 Ga 2.72-2.99, 4 Er 2.99
Ga9 0.7031 0.0000 0.7031  1 Pd 2.51, 4 Ga 2.72
Ga10 0.7031 0.7031 0.0000  1 Pd 2.51, 4 Ga 2.72
Ga11 0.7500 0.2500 0.5000  8 Ga 2.72-2.99, 4 Er 2.99
Ga12 0.0000 0.2969 0.2969  1 Pd 2.51, 4 Ga 2.72


Entry 10:
# ErGa2Pd

ErGa2Pd at its PBEsol-relaxed geometry (meta-GGA SCAN, Alexandria via LeMat-Bulk).

Properties
- DFT formation energy (eV/atom) = -0.91
- N(E_F) (states/eV/f.u.) = 1.52

Cell: 4.3488 5.4259 6.4761 Å, 90.00 90.00 113.62°
Closest atoms and distances in Å follow each position.
Fractional positions:
Pd1 0.7992 0.5983 0.7500  6 Ga 2.60-2.63, 1 Er 2.87
Pd2 0.2008 0.4017 0.2500  6 Ga 2.60-2.63, 1 Er 2.87
Ga1 0.3728 0.7456 0.9472  2 Ga 2.55-2.62, 3 Pd 2.60-2.63
Ga2 0.6272 0.2544 0.4472  2 Ga 2.55-2.62, 3 Pd 2.60-2.63
Er1 0.9119 0.8238 0.2500  3 Pd 2.87-3.02, 6 Ga 2.95-3.11
Ga3 0.3728 0.7456 0.5528  2 Ga 2.55-2.62, 3 Pd 2.60-2.63
Ga4 0.6272 0.2544 0.0528  2 Ga 2.55-2.62, 3 Pd 2.60-2.63
Er2 0.0881 0.1762 0.7500  3 Pd 2.87-3.02, 6 Ga 2.95-3.11


Entry 11:
# Er4Ga12Pt

Er4Ga12Pt at its PBEsol-relaxed geometry (meta-GGA SCAN, Alexandria via LeMat-Bulk).

Properties
- DFT formation energy (eV/atom) = -0.71
- N(E_F) (states/eV/f.u.) = 3.29

Cell: 7.3142 7.3142 7.3142 Å, 109.47 109.47 109.47°
Closest atoms and distances in Å follow each position.
Fractional positions:
Ga1 0.2981 0.2981 0.0000  1 Pt 2.52, 4 Ga 2.71
Ga2 0.2500 0.5000 0.7500  8 Ga 2.71-2.99, 4 Er 2.99
Ga3 0.5000 0.2500 0.7500  8 Ga 2.71-2.99, 4 Er 2.99
Er1 0.0000 0.5000 0.0000  12 Ga 2.99-3.01
Pt1 0.0000 0.0000 0.0000  6 Ga 2.52
Ga4 0.7500 0.2500 0.5000  8 Ga 2.71-2.99, 4 Er 2.99
Ga5 0.0000 0.2981 0.2981  1 Pt 2.52, 4 Ga 2.71
Ga6 0.2981 0.0000 0.2981  1 Pt 2.52, 4 Ga 2.71
Er2 0.5000 0.5000 0.5000  12 Ga 2.99-3.01
Ga7 0.7500 0.5000 0.2500  8 Ga 2.71-2.99, 4 Er 2.99
Er3 0.0000 0.0000 0.5000  12 Ga 2.99-3.01
Ga8 0.5000 0.7500 0.2500  8 Ga 2.71-2.99, 4 Er 2.99
Ga9 0.2500 0.7500 0.5000  8 Ga 2.71-2.99, 4 Er 2.99
Ga10 0.0000 0.7019 0.7019  1 Pt 2.52, 4 Ga 2.71
Er4 0.5000 0.0000 0.0000  12 Ga 2.99-3.01
Ga11 0.7019 0.7019 0.0000  1 Pt 2.52, 4 Ga 2.71
Ga12 0.7019 0.0000 0.7019  1 Pt 2.52, 4 Ga 2.71


Entry 12:
# ErGaPt

ErGaPt at its PBEsol-relaxed geometry (meta-GGA SCAN, Alexandria via LeMat-Bulk).

Properties
- DFT formation energy (eV/atom) = -1.34
- N(E_F) (states/eV/f.u.) = 1.32

Cell: 4.3618 6.7367 7.5598 Å, 90.00 90.00 90.00°
Closest atoms and distances in Å follow each position.
Fractional positions:
Ga1 0.2500 0.1716 0.9252  4 Pt 2.56-2.68
Ga2 0.7500 0.8284 0.0748  4 Pt 2.56-2.68
Er1 0.2500 0.0153 0.3023  5 Pt 2.84-3.02, 6 Ga 3.04-3.17
Er2 0.7500 0.4847 0.8023  5 Pt 2.84-3.02, 6 Ga 3.04-3.17
Pt1 0.2500 0.2743 0.5988  4 Ga 2.56-2.68, 1 Er 2.84
Ga3 0.2500 0.6716 0.5748  4 Pt 2.56-2.68
Pt2 0.7500 0.2257 0.0988  4 Ga 2.56-2.68, 1 Er 2.84
Er3 0.2500 0.5153 0.1977  5 Pt 2.84-3.02, 6 Ga 3.04-3.17
Pt3 0.2500 0.7743 0.9012  4 Ga 2.56-2.68, 1 Er 2.84
Er4 0.7500 0.9847 0.6977  5 Pt 2.84-3.02, 6 Ga 3.04-3.17
Ga4 0.7500 0.3284 0.4252  4 Pt 2.56-2.68
Pt4 0.7500 0.7257 0.4012  4 Ga 2.56-2.68, 1 Er 2.84